This record from Alexandria via LeMat-Bulk describes crystalline Zr4AlRe at its relaxed geometry. The functional is GGA-PBE.

Values from the calculation:
energy relative to the elements	7.6	kJ/mol of atoms
final energy	-8.3180	eV per atom
E above lowest polymorph	0	meV per atom

abc: 4.6339 4.6460 7.9564
angles: 72.99 73.07 60.09
Atoms (fractional coordinates):
Zr 0.3705 0.3699 0.8890
Zr 0.6295 0.6301 0.1110
Zr 0.1204 0.1186 0.6406
Al 0.5000 0.5000 0.5000
Zr 0.8796 0.8814 0.3594
Re 0.0000 0.0000 0.0000

---

This record from Alexandria via LeMat-Bulk describes crystalline Tc2AgTe at its relaxed geometry. The functional is GGA-PBE.

Values from the calculation:
final energy	-6.0282	eV per atom
formation energy without anion corrections	0.65	eV per atom

abc: 5.4607 5.4607 5.4607
angles: 145.99 129.04 62.68
Atoms (fractional coordinates):
Tc 0.9725 0.9725 0.0000
Te 0.7500 0.2500 0.5000
Ag 0.2500 0.7500 0.5000
Tc 0.5275 0.5275 0.0000

---

This record from Alexandria via LeMat-Bulk describes crystalline LuPaNb4 at its relaxed geometry. The functional is GGA-PBE.

Values from the calculation:
energy relative to the elements	12.3	kJ/mol of atoms
final energy	-8.9215	eV per atom

abc: 5.6610 5.6610 5.6610
angles: 60.00 60.00 60.00
Atoms (fractional coordinates):
Nb 0.1233 0.6256 0.6256
Lu 0.2500 0.2500 0.2500
Nb 0.6256 0.6256 0.1233
Nb 0.6256 0.1233 0.6256
Nb 0.6256 0.6256 0.6256
Pa 0.0000 0.0000 0.0000

---

This record from Alexandria via LeMat-Bulk describes crystalline Sc3AuN at its relaxed geometry. The functional is GGA-PBE.

Values from the calculation:
final energy	-7.1417	eV per atom
formation energy without anion corrections	-1.02	eV per atom

abc: 6.1420 5.4773 5.4767
angles: 105.89 83.95 83.94
Atoms (fractional coordinates):
Sc 0.0551 0.8803 0.2108
Sc 0.5492 0.9602 0.2906
Sc 0.8042 0.9106 0.7517
N 0.8021 0.6649 0.0060
Sc 0.8001 0.4192 0.2603
Au 0.2957 0.4246 0.2657
N 0.8021 0.1649 0.5060
Sc 0.0551 0.3697 0.7214
Au 0.3086 0.9054 0.7464
Sc 0.5492 0.4496 0.8012

---

This record from Alexandria via LeMat-Bulk describes crystalline Sm2TmScAs4 at its relaxed geometry. The functional is GGA-PBE.

Values from the calculation:
energy relative to the elements	-141.3	kJ/mol of atoms
final energy	-6.3194	eV per atom

abc: 4.1036 7.1002 7.0847
angles: 109.52 90.00 90.00
Atoms (fractional coordinates):
Tm 0.5000 0.5000 0.0000
As 0.0000 0.2496 0.7632
Sm 0.0000 0.5000 0.5000
As 0.0000 0.7504 0.2368
As 0.5000 0.7604 0.7667
As 0.5000 0.2396 0.2333
Sc 0.0000 0.0000 0.0000
Sm 0.5000 0.0000 0.5000

---

This record from Alexandria via LeMat-Bulk describes crystalline Tl at its relaxed geometry. The functional is GGA-PBE.

Values from the calculation:
energy relative to the elements	6.8	kJ/mol of atoms
final energy	-2.2961	eV per atom
E above lowest polymorph	70	meV per atom

abc: 12.3446 12.3446 3.4214
angles: 90.00 90.00 90.00
Atoms (fractional coordinates):
Tl 0.4026 0.8589 0.0000
Tl 0.5992 0.6629 0.0000
Tl 0.1411 0.4026 0.0000
Tl 0.9026 0.3589 0.5000
Tl 0.5974 0.1411 0.0000
Tl 0.8371 0.0992 0.5000
Tl 0.3371 0.5992 0.0000
Tl 0.6629 0.4008 0.0000
Tl 0.1629 0.9008 0.5000
Tl 0.8589 0.5974 0.0000
Tl 0.3589 0.0974 0.5000
Tl 0.4008 0.3371 0.0000
Tl 0.0992 0.1629 0.5000
Tl 0.0974 0.6411 0.5000
Tl 0.9008 0.8371 0.5000
Tl 0.6411 0.9026 0.5000

---

This record from Alexandria via LeMat-Bulk describes crystalline ErTm5Al6 at its relaxed geometry. The functional is GGA-PBE.

Values from the calculation:
energy relative to the elements	-37.7	kJ/mol of atoms
final energy	-4.5050	eV per atom

abc: 5.0394 7.0602 7.9727
angles: 90.00 71.58 90.00
Atoms (fractional coordinates):
Tm 0.3337 0.5000 0.3326
Al 0.1670 0.7491 0.6660
Al 0.5000 0.7496 0.0000
Tm 0.0000 0.5000 0.0000
Al 0.5000 0.2504 0.0000
Tm 0.3331 0.0000 0.3337
Al 0.1670 0.2509 0.6660
Er 0.0000 0.0000 0.0000
Tm 0.6663 0.5000 0.6674
Al 0.8330 0.2509 0.3340
Al 0.8330 0.7491 0.3340
Tm 0.6669 0.0000 0.6663

---

This record from Alexandria via LeMat-Bulk describes crystalline Sc2NCl at its relaxed geometry. The functional is GGA-PBE.

Values from the calculation:
final energy	-7.3385	eV per atom
formation energy without anion corrections	-1.63	eV per atom

abc: 3.3375 3.3375 6.5554
angles: 75.25 75.25 60.00
Atoms (fractional coordinates):
N 0.6699 0.6699 0.9902
Cl 0.4984 0.4984 0.5048
Sc 0.2728 0.2728 0.1815
Sc 0.0588 0.0588 0.8236